BeBr2 | PBE-GGA | optimized geometry

The structure in POSCAR format:
```
BeBr2
1.0
1.953 -3.383 0.000
1.953 3.383 0.000
0.000 0.000 10.053
Br Be
4 2
Cartesian
1.953 -1.128 2.513
0.000 0.000 5.027
1.953 1.128 7.540
0.000 0.000 0.000
1.953 -1.128 7.540
1.953 1.128 2.513
```

ΔE_f (raw)	-0.07	eV per atom
ΔE to the lowest computed polymorph	951	meV per atom